1.
Compound: LaPm4Ho
Source: Alexandria via LeMat-Bulk
Functional: PBE
Structure: optimized geometry

Cell: 9.483 9.483 9.483 Å, 90.00 90.00 90.00°
Space group F-43m (No. 216)
Asymmetric unit:
La  0.000  0.000  0.000 [4 per cell]
Pm  0.124  0.124  0.624 [16 per cell]
Ho  0.250  0.250  0.250 [4 per cell]

excess energy over the best structure of this formula in the dataset: 0.230 eV/atom
E_form: 0.2487 eV per atom
theoretical density: 6.88 g cm⁻³
total magnetization: 0.0 μB/cell

---

2.
Compound: La5PmHo3
Source: Alexandria via LeMat-Bulk
Functional: PBE
Structure: optimized geometry

Cell: 18.989 6.595 11.479 Å, 90.00 115.21 90.00°
Space group C2/c (No. 15)
Asymmetric unit:
La  0.000  0.096  0.250 [4 per cell]
La  0.169  0.196  0.713 [8 per cell]
La  0.170  0.326  0.360 [8 per cell]
Pm  0.000  0.365  0.750 [4 per cell]
Ho  0.000  0.500  0.000 [4 per cell]
Ho  0.160  0.209  0.014 [8 per cell]

excess energy over the best structure of this formula in the dataset: 0.000 eV/atom
E_form: 0.2423 eV per atom
theoretical density: 6.81 g cm⁻³
total magnetization: 0.0 μB/cell

---

3.
Compound: La4Pm7Ho
Source: Alexandria via LeMat-Bulk
Functional: PBE
Structure: optimized geometry

Cell: 12.228 6.126 13.079 Å, 90.00 117.27 90.00°
Space group C2/m (No. 12)
Asymmetric unit:
La  0.055  0.000  0.335 [4 per cell]
La  0.138  0.500  0.778 [4 per cell]
Pm  0.000  0.000  0.000 [2 per cell]
Pm  0.137  0.500  0.504 [4 per cell]
Pm  0.210  0.000  0.923 [4 per cell]
Pm  0.239  0.500  0.309 [4 per cell]
Ho  0.000  0.500  0.000 [2 per cell]

excess energy over the best structure of this formula in the dataset: 0.211 eV/atom
E_form: 0.2329 eV per atom
theoretical density: 6.62 g cm⁻³
total magnetization: 0.0 μB/cell

---

- Which value of excess energy over the best structure of this formula in the dataset does entry 1 give?
  0.230 eV/atom

---

- The highest E_form belongs to which entry?
  LaPm4Ho

---

- E_form of number 2 (La5PmHo3)?
  0.2423 eV per atom